This record from Alexandria via LeMat-Bulk describes crystalline Ho8Ge3BiTe4 at its relaxed geometry. The functional is PBE.

Geometry as POSCAR:
```
Ho8Ge3BiTe4
1.0
8.562 0.000 0.000
0.000 8.632 0.043
-4.281 -4.277 6.057
Te Ho Bi Ge
4 8 1 3
Cartesian
0.000 0.000 0.000
2.141 -2.139 3.029
4.281 0.000 0.000
-2.141 -2.139 3.029
2.237 2.270 0.158
4.281 4.158 2.935
-2.045 2.085 5.943
0.000 0.197 3.165
0.000 4.127 3.050
6.326 2.270 0.158
4.281 0.229 3.051
2.045 2.085 5.943
0.000 4.316 0.022
4.281 4.316 0.022
-2.141 2.178 3.050
2.141 2.178 3.050
```

Properties
For the electronic total energy, the calculation gives -0.3923 Ry per atom. The value obtained for the theoretical density is 8.3 g/cm³. Its density of states at the Fermi level is 0.2184 states/eV per atom.